(1)
Y2MgIr at its PBEsol-relaxed geometry, computed with meta-GGA SCAN.

Cell lengths 3.922, 3.922, 8.558 Å; angles 76.76, 76.76, 60.00 degrees
Atoms (fractional coordinates):
Mg 0.500 0.500 0.500
Y 0.272 0.272 0.183
Ir 0.000 0.000 0.000
Y 0.728 0.728 0.817

Properties
Calculated formation energy   -0.45 eV per atom
N(E_F)   2.3 states/eV/cell

(2)
Ca2AlSe at its PBEsol-relaxed geometry, computed with meta-GGA SCAN.

Cell lengths 3.542, 3.542, 7.799 Å; angles 90.00, 90.00, 90.00 degrees
Atoms (fractional coordinates):
Ca 0.000 0.000 0.224
Ca 0.000 0.000 0.776
Se 0.500 0.500 0.000
Al 0.500 0.500 0.500

Properties
Polymorph energy (0 for the lowest one)   0.19 eV per formula unit
E_form (uncorrected)   -0.948 eV per atom
N(E_F)   2.1 states/eV/cell

(3)
CrIn2Te at its PBEsol-relaxed geometry, computed with meta-GGA SCAN.

Cell lengths 4.035, 4.222, 6.346 Å; angles 108.94, 108.03, 91.45 degrees
Site moments in Bohr magnetons follow the coordinates.
Atoms (fractional coordinates):
Cr 0.000 0.500 0.000  4.02
In 0.500 0.500 0.500  -0.01
In 0.000 0.000 0.500  -0.01
Te 0.500 0.000 0.000  -0.12

Properties
E_form (uncorrected)   -0.024 eV per atom
N(E_F)   1.5 states/eV/cell

(4)
MnIn2P at its PBEsol-relaxed geometry, computed with meta-GGA SCAN.

Cell lengths 3.217, 3.217, 8.418 Å; angles 78.99, 78.99, 60.00 degrees
Site moments in Bohr magnetons follow the coordinates.
Atoms (fractional coordinates):
P 0.231 0.231 0.306  -0.16
Mn 0.514 0.514 0.459  2.80
In 0.992 0.992 0.025  0.00
In 0.763 0.763 0.710  -0.06

Properties
Calculated formation energy   -0.01 eV per atom
N(E_F)   1.9 states/eV/cell

Q: Number 4 is which compound?
A: MnIn2P